Entry 1:
Here is a relaxed structure of PmNi5Au7 from the Alexandria database. Energies are from GGA-PBE.

a = 6.889 Å, b = 6.889 Å, c = 6.889 Å
α = 135.65°, β = 98.59°, γ = 97.80°
Fractional coordinates of all 13 atoms:
Pm 0.000 0.000 0.000
Ni 0.509 0.003 0.008
Ni 0.509 0.501 0.506
Ni 0.769 0.269 0.500
Ni 0.995 0.003 0.494
Ni 0.995 0.501 0.992
Au 0.201 0.497 0.704
Au 0.229 0.729 0.500
Au 0.342 0.342 0.000
Au 0.348 0.008 0.341
Au 0.667 0.008 0.659
Au 0.670 0.670 0.000
Au 0.793 0.497 0.296

Its space group is No. 44. For the density of states at the Fermi level, the calculation gives 12.12 states/eV/f.u. The value obtained for the total energy is -4.535 eV per atom. The energy of formation comes out at -181 meV/atom.

Entry 2:
Here is a relaxed structure of FeIrPb2 from the Alexandria database. Energies are from GGA-PBE.

a = 4.062 Å, b = 4.062 Å, c = 9.745 Å
α = 90.00°, β = 90.00°, γ = 90.00°
Fractional coordinates of all 8 atoms:
Fe 0.000 0.000 0.000
Fe 0.500 0.500 0.500
Ir 0.000 0.500 0.750
Ir 0.500 0.000 0.250
Pb 0.000 0.000 0.500
Pb 0.000 0.500 0.250
Pb 0.500 0.000 0.750
Pb 0.500 0.500 0.000

Its space group is No. 119. For the density of states at the Fermi level, the calculation gives 5.26 states/eV/f.u. The value obtained for the total energy is -5.531 eV per atom. The calculation puts the energy above the most stable polymorph in this dataset at 1.66 eV/f.u. The energy of formation comes out at 654 meV/atom.

Entry 3:
Here is a relaxed structure of K4Na2Hg2O from the Alexandria database. Energies are from GGA-PBE.

a = 7.515 Å, b = 7.515 Å, c = 6.449 Å
α = 95.68°, β = 95.68°, γ = 62.19°
Fractional coordinates of all 9 atoms:
K 0.149 0.663 0.696
K 0.337 0.851 0.304
K 0.663 0.149 0.696
K 0.851 0.337 0.304
Na 0.137 0.137 0.757
Na 0.863 0.863 0.243
Hg 0.336 0.336 0.181
Hg 0.664 0.664 0.819
O 0.000 0.000 0.500

Its space group is No. 12. Its uncorrected formation energy is -0.45 eV per atom. For the density of states at the Fermi level, the calculation gives 5.89 states/eV/f.u. The value obtained for the total energy is -1.847 eV per atom.

Entry 4:
Here is a relaxed structure of Zr3Br from the Alexandria database. Energies are from GGA-PBE.

a = 3.332 Å, b = 3.332 Å, c = 9.404 Å
α = 90.00°, β = 90.00°, γ = 120.00°
Fractional coordinates of all 4 atoms:
Zr 0.000 0.000 0.000
Zr 0.667 0.333 0.266
Zr 0.667 0.333 0.734
Br 0.000 0.000 0.500

Its space group is No. 187. Its uncorrected formation energy is -0.25 eV per atom. For the density of states at the Fermi level, the calculation gives 4.84 states/eV/f.u. The value obtained for the total energy is -7.081 eV per atom. The calculation puts the energy above the most stable polymorph in this dataset at 0.00 eV/f.u.

Entry 5:
Here is a relaxed structure of PRuSe2 from the Alexandria database. Energies are from GGA-PBE.

a = 3.636 Å, b = 3.636 Å, c = 22.841 Å
α = 90.00°, β = 90.00°, γ = 120.00°
Fractional coordinates of all 12 atoms:
P 0.000 0.000 0.000
P 0.333 0.667 0.667
P 0.667 0.333 0.333
Ru 0.000 0.000 0.500
Ru 0.333 0.667 0.167
Ru 0.667 0.333 0.833
Se 0.000 0.000 0.108
Se 0.000 0.000 0.892
Se 0.333 0.667 0.558
Se 0.333 0.667 0.775
Se 0.667 0.333 0.225
Se 0.667 0.333 0.442

Its space group is No. 166. Its uncorrected formation energy is 0.31 eV per atom. For the density of states at the Fermi level, the calculation gives 3.46 states/eV/f.u. The value obtained for the total energy is -5.105 eV per atom.

Entry 6:
Here is a relaxed structure of Ta2Te from the Alexandria database. Energies are from GGA-PBE.

a = 4.913 Å, b = 4.913 Å, c = 5.612 Å
α = 90.00°, β = 90.00°, γ = 120.00°
Fractional coordinates of all 6 atoms:
Ta 0.000 0.000 0.000
Ta 0.000 0.000 0.500
Ta 0.333 0.667 0.250
Ta 0.667 0.333 0.750
Te 0.333 0.667 0.750
Te 0.667 0.333 0.250

Its space group is No. 194. Its uncorrected formation energy is 0.47 eV per atom. For the density of states at the Fermi level, the calculation gives 2.76 states/eV/f.u. The value obtained for the total energy is -8.475 eV per atom.